## NaBeP2Pt (PBE)

Data for a relaxed NaBeP2Pt crystal.

a b c (Å): 4.655 4.655 4.238
angles (deg): 90.00 90.00 90.00
Space group P4/mmm (No. 123)
Unique sites:
Na 0.000 0.000 0.000 [1 per cell]
Be 0.000 0.000 0.500 [1 per cell]
P 0.000 0.500 0.000 [2 per cell]
Pt 0.500 0.500 0.500 [1 per cell]

Computed properties:
- total magnetic moment (Bohr magnetons per cell) = 0.00
- energy of formation (meV/atom) = 1691
- energy (eV per cell) = -13.45

=====

## Rb2NaBeP2 (PBE)

Data for a relaxed Rb2NaBeP2 crystal.

a b c (Å): 6.785 15.027 6.196
angles (deg): 90.00 90.00 90.00
Space group Ibam (No. 72)
Unique sites:
Rb 0.249 0.170 0.000 [8 per cell]
Na 0.000 0.500 0.250 [4 per cell]
Be 0.000 0.000 0.250 [4 per cell]
P 0.183 0.076 0.500 [8 per cell]

Computed properties:
- total magnetic moment (Bohr magnetons per cell) = 0.12
- energy of formation (meV/atom) = -220
- energy (eV per cell) = -76.49

=====

## RbNa2BeP2 (PBE)

Data for a relaxed RbNa2BeP2 crystal.

a b c (Å): 8.403 10.849 6.248
angles (deg): 90.00 90.00 90.00
Space group Ibam (No. 72)
Unique sites:
Rb 0.000 0.000 0.250 [4 per cell]
Na 0.162 0.317 0.000 [8 per cell]
Be 0.000 0.500 0.250 [4 per cell]
P 0.154 0.404 0.500 [8 per cell]

Computed properties:
- total magnetic moment (Bohr magnetons per cell) = 2.58
- energy of formation (meV/atom) = -175
- energy (eV per cell) = -76.80

=====

## NaBePS2 (PBE)

Data for a relaxed NaBePS2 crystal.

a b c (Å): 4.649 4.649 4.103
angles (deg): 90.00 90.00 90.00
Space group P4/mmm (No. 123)
Unique sites:
Na 0.000 0.000 0.000 [1 per cell]
Be 0.500 0.500 0.500 [1 per cell]
P 0.500 0.500 0.000 [1 per cell]
S 0.000 0.500 0.500 [2 per cell]

Computed properties:
- formation energy without anion corrections (eV/atom) = 0.07
- total magnetic moment (Bohr magnetons per cell) = 0.00
- energy relative to the lowest polymorph listed for this composition (meV per atom) = 0
- energy (eV per cell) = -18.34

=====

## NaBePS2 (PBE)

Data for a relaxed NaBePS2 crystal.

a b c (Å): 4.835 4.835 4.781
angles (deg): 90.00 90.00 90.00
Space group P4/mmm (No. 123)
Unique sites:
Na 0.000 0.000 0.000 [1 per cell]
Be 0.500 0.500 0.500 [1 per cell]
P 0.000 0.000 0.500 [1 per cell]
S 0.000 0.500 0.000 [2 per cell]

Computed properties:
- formation energy without anion corrections (eV/atom) = 1.50
- total magnetic moment (Bohr magnetons per cell) = 0.00
- energy relative to the lowest polymorph listed for this composition (meV per atom) = 1429
- energy (eV per cell) = -11.19

=====

## Na2BePS4 (PBE)

Data for a relaxed Na2BePS4 crystal.

a b c (Å): 8.215 8.018 6.140
angles (deg): 90.00 128.08 90.00
Space group C2 (No. 5)
Unique sites:
Na 0.000 0.000 0.000 [2 per cell]
Na 0.000 0.247 0.500 [2 per cell]
Be 0.000 0.805 0.500 [2 per cell]
P 0.000 0.535 0.000 [2 per cell]
S 0.160 0.689 0.905 [4 per cell]
S 0.240 0.945 0.561 [4 per cell]

Computed properties:
- formation energy without anion corrections (eV/atom) = -0.69
- total magnetic moment (Bohr magnetons per cell) = 2.06
- energy (eV per cell) = -67.57

=====

## NaBe2SbP (PBE)

Data for a relaxed NaBe2SbP crystal.

a b c (Å): 4.618 4.618 4.839
angles (deg): 90.00 90.00 90.00
Space group P4/mmm (No. 123)
Unique sites:
Na 0.000 0.000 0.000 [1 per cell]
Be 0.000 0.500 0.000 [2 per cell]
Sb 0.500 0.500 0.500 [1 per cell]
P 0.000 0.000 0.500 [1 per cell]

Computed properties:
- formation energy without anion corrections (eV/atom) = 1.51
- total magnetic moment (Bohr magnetons per cell) = 0.00
- energy (eV per cell) = -10.77

=====

## Na2BePSe4 (PBE)

Data for a relaxed Na2BePSe4 crystal.

a b c (Å): 6.660 6.660 8.813
angles (deg): 90.00 90.00 90.00
Space group I-4 (No. 82)
Unique sites:
Na 0.000 0.000 0.000 [2 per cell]
Na 0.000 0.500 0.250 [2 per cell]
Be 0.000 0.000 0.500 [2 per cell]
P 0.000 0.500 0.750 [2 per cell]
Se 0.175 0.755 0.613 [8 per cell]

Computed properties:
- formation energy without anion corrections (eV/atom) = -0.56
- total magnetic moment (Bohr magnetons per cell) = 0.00
- energy (eV per cell) = -60.41

=====

## NaBeSiP2 (PBE)

Data for a relaxed NaBeSiP2 crystal.

a b c (Å): 6.498 5.681 5.880
angles (deg): 90.00 104.43 90.00
Space group P2/c (No. 13)
Unique sites:
Na 0.000 0.240 0.250 [2 per cell]
Be 0.500 0.500 0.000 [2 per cell]
Si 0.500 0.007 0.250 [2 per cell]
P 0.298 0.221 0.941 [4 per cell]

Computed properties:
- formation energy without anion corrections (eV/atom) = -0.07
- total magnetic moment (Bohr magnetons per cell) = 0.00
- energy (eV per cell) = -43.25

=====

## NaBeTc2P (PBE)

Data for a relaxed NaBeTc2P crystal.

a b c (Å): 4.223 4.223 4.272
angles (deg): 90.00 90.00 90.00
Space group P4/mmm (No. 123)
Unique sites:
Na 0.000 0.000 0.000 [1 per cell]
Be 0.000 0.000 0.500 [1 per cell]
Tc 0.000 0.500 0.500 [2 per cell]
P 0.500 0.500 0.000 [1 per cell]

Computed properties:
- total magnetic moment (Bohr magnetons per cell) = 2.04
- energy of formation (meV/atom) = 997
- energy (eV per cell) = -26.20

=====

## Na2YBeP (PBE)

Data for a relaxed Na2YBeP crystal.

a b c (Å): 5.898 5.898 4.881
angles (deg): 90.00 90.00 90.00
Space group P4/mmm (No. 123)
Unique sites:
Na 0.000 0.500 0.000 [2 per cell]
Y 0.000 0.000 0.000 [1 per cell]
Be 0.000 0.000 0.500 [1 per cell]
P 0.500 0.500 0.500 [1 per cell]

Computed properties:
- total magnetic moment (Bohr magnetons per cell) = 0.71
- energy of formation (meV/atom) = 1542
- energy (eV per cell) = -10.53

=====

## Na3Pa3BeSe8 (PBE)

Data for a relaxed Na3Pa3BeSe8 crystal.

a b c (Å): 13.942 8.052 8.570
angles (deg): 90.00 122.83 90.00
Space group C2/m (No. 12)
Unique sites:
Na 0.000 0.000 0.000 [2 per cell]
Na 0.250 0.250 0.000 [4 per cell]
Pa 0.000 0.500 0.500 [2 per cell]
Pa 0.250 0.250 0.500 [4 per cell]
Be 0.000 0.000 0.500 [2 per cell]
Se 0.006 0.229 0.289 [8 per cell]
Se 0.222 0.000 0.709 [4 per cell]
Se 0.248 0.500 0.743 [4 per cell]

Computed properties:
- formation energy without anion corrections (eV/atom) = -1.12
- total magnetic moment (Bohr magnetons per cell) = 8.01
- energy (eV per cell) = -161.77

=====

## NaBe3Pb (PBE)

Data for a relaxed NaBe3Pb crystal.

a b c (Å): 4.861 4.861 4.861
angles (deg): 90.00 90.00 90.00
Space group Pm-3m (No. 221)
Unique sites:
Na 0.000 0.000 0.000 [1 per cell]
Be 0.000 0.500 0.500 [3 per cell]
Pb 0.500 0.500 0.500 [1 per cell]

Computed properties:
- total magnetic moment (Bohr magnetons per cell) = 0.00
- energy of formation (meV/atom) = 1240
- energy relative to the lowest polymorph listed for this composition (meV per atom) = 0
- energy (eV per cell) = -10.01

=====

## NaBe2Pb (PBE)

Data for a relaxed NaBe2Pb crystal.

a b c (Å): 4.591 4.591 17.294
angles (deg): 90.00 90.00 90.00
Space group I4_1/amd (No. 141, origin choice 2)
Unique sites:
Na 0.000 0.250 0.375 [4 per cell]
Be 0.000 0.000 0.000 [8 per cell]
Pb 0.000 0.250 0.875 [4 per cell]

Computed properties:
- total magnetic moment (Bohr magnetons per cell) = 0.00
- energy of formation (meV/atom) = 653
- energy (eV per cell) = -39.47

=====

## Na2BePb (PBE)

Data for a relaxed Na2BePb crystal.

a b c (Å): 11.403 11.403 4.526
angles (deg): 90.00 90.00 90.00
Space group I-42d (No. 122)
Unique sites:
Na 0.027 0.250 0.125 [8 per cell]
Be 0.000 0.000 0.000 [4 per cell]
Pb 0.000 0.000 0.500 [4 per cell]

Computed properties:
- total magnetic moment (Bohr magnetons per cell) = 0.00
- energy of formation (meV/atom) = 319
- energy relative to the lowest polymorph listed for this composition (meV per atom) = 0
- energy (eV per cell) = -35.18

=====

## NaBePb3 (PBE)

Data for a relaxed NaBePb3 crystal.

a b c (Å): 5.516 5.516 5.516
angles (deg): 90.00 90.00 90.00
Space group Pm-3m (No. 221)
Unique sites:
Na 0.000 0.000 0.000 [1 per cell]
Be 0.500 0.500 0.500 [1 per cell]
Pb 0.000 0.000 0.500 [3 per cell]

Computed properties:
- total magnetic moment (Bohr magnetons per cell) = 0.00
- energy of formation (meV/atom) = 1023
- energy relative to the lowest polymorph listed for this composition (meV per atom) = 794
- energy (eV per cell) = -11.05

=====

## NaBePb2 (PBE)

Data for a relaxed NaBePb2 crystal.

a b c (Å): 5.173 5.173 17.259
angles (deg): 90.00 90.00 90.00
Space group I-42d (No. 122)
Unique sites:
Na 0.000 0.000 0.000 [4 per cell]
Be 0.000 0.000 0.500 [4 per cell]
Pb 0.169 0.250 0.625 [8 per cell]

Computed properties:
- total magnetic moment (Bohr magnetons per cell) = 0.00
- energy of formation (meV/atom) = 425
- energy (eV per cell) = -43.05

=====

## NaBePb3 (PBE)

Data for a relaxed NaBePb3 crystal.

a b c (Å): 5.229 5.229 5.229
angles (deg): 90.00 90.00 90.00
Space group Pm-3m (No. 221)
Unique sites:
Na 0.000 0.000 0.000 [1 per cell]
Be 0.500 0.500 0.500 [1 per cell]
Pb 0.000 0.500 0.500 [3 per cell]

Computed properties:
- total magnetic moment (Bohr magnetons per cell) = 0.00
- energy of formation (meV/atom) = 229
- energy relative to the lowest polymorph listed for this composition (meV per atom) = 0
- energy (eV per cell) = -15.02

=====

## Na2BePb2 (PBE)

Data for a relaxed Na2BePb2 crystal.

a b c (Å): 7.073 7.073 5.294
angles (deg): 90.00 90.00 90.00
Space group P4/mbm (No. 127)
Unique sites:
Na 0.164 0.336 0.000 [4 per cell]
Be 0.000 0.000 0.500 [2 per cell]
Pb 0.157 0.657 0.500 [4 per cell]

Computed properties:
- total magnetic moment (Bohr magnetons per cell) = 0.00
- energy of formation (meV/atom) = 171
- energy (eV per cell) = -25.86

=====

## Na2BePb (PBE)

Data for a relaxed Na2BePb crystal.

a b c (Å): 7.232 7.232 7.232
angles (deg): 90.00 90.00 90.00
Space group Fm-3m (No. 225)
Unique sites:
Na 0.250 0.250 0.250 [8 per cell]
Be 0.000 0.000 0.000 [4 per cell]
Pb 0.000 0.000 0.500 [4 per cell]

Computed properties:
- total magnetic moment (Bohr magnetons per cell) = 0.00
- energy of formation (meV/atom) = 455
- energy relative to the lowest polymorph listed for this composition (meV per atom) = 136
- energy (eV per cell) = -33.01